Here is a crystal of La3ZrTl relaxed with PBEsol from Alexandria. Energies are from SCAN.

Lattice parameters (Å, degrees): 5.5387 5.5387 5.5387 90.00 90.00 90.00
Space group Pm-3m (No. 221)
Unique sites:
La  0.0000  0.0000  0.5000 [3 per cell]
Zr  0.0000  0.0000  0.0000 [1 per cell]
Tl  0.5000  0.5000  0.5000 [1 per cell]

Values from the calculation:
DFT formation energy = 1.6 eV per formula unit
Total magnetization = 0.00 μB/atom

=====

Here is a crystal of Zn5Pd3 relaxed with PBEsol from Alexandria. Energies are from SCAN.

Lattice parameters (Å, degrees): 3.0398 3.0398 11.8607 90.00 90.00 90.00
Space group P4/mmm (No. 123)
Unique sites:
Zn  0.0000  0.0000  0.0000 [1 per cell]
Zn  0.5000  0.5000  0.1248 [2 per cell]
Zn  0.5000  0.5000  0.3743 [2 per cell]
Pd  0.0000  0.0000  0.2487 [2 per cell]
Pd  0.0000  0.0000  0.5000 [1 per cell]

Values from the calculation:
DFT formation energy = -3.4 eV per formula unit
Total magnetization = 0.00 μB/atom

=====

Here is a crystal of SrHgSb2 relaxed with PBEsol from Alexandria. Energies are from SCAN.

Lattice parameters (Å, degrees): 11.7137 4.7843 4.6317 90.00 110.84 90.00
Space group Cm (No. 8)
Unique sites:
Sr  0.0000  0.0000  0.0000 [2 per cell]
Hg  0.2258  0.5000  0.2657 [2 per cell]
Sb  0.0506  0.5000  0.5591 [2 per cell]
Sb  0.3105  0.0000  0.0675 [2 per cell]

Values from the calculation:
Formation energy from raw total energies = -521 meV per atom
Total magnetization = 0.00 μB/atom

=====

Here is a crystal of Os2RuPb relaxed with PBEsol from Alexandria. Energies are from SCAN.

Lattice parameters (Å, degrees): 2.7925 3.7479 6.2685 90.00 90.00 90.00
Space group Pmmm (No. 47)
Unique sites:
Os  0.0000  0.0000  0.2046 [2 per cell]
Ru  0.5000  0.5000  0.0000 [1 per cell]
Pb  0.5000  0.5000  0.5000 [1 per cell]

Values from the calculation:
DFT formation energy = 3.4 eV per formula unit
Total magnetization = 0.00 μB/atom

=====

Here is a crystal of ZnHN2F relaxed with PBEsol from Alexandria. Energies are from SCAN.

Lattice parameters (Å, degrees): 3.9547 3.9547 3.9630 90.00 90.00 90.00
Space group P4/mmm (No. 123)
Unique sites:
Zn  0.0000  0.0000  0.0000 [1 per cell]
H  0.5000  0.5000  0.5000 [1 per cell]
N  0.0000  0.5000  0.0000 [2 per cell]
F  0.0000  0.0000  0.5000 [1 per cell]

Values from the calculation:
Energy above the most stable polymorph in this dataset = 0.276 eV per atom
Total magnetization = 0.72 μB/atom

=====

Here is a crystal of Li2CuAg relaxed with PBEsol from Alexandria. Energies are from SCAN.

Lattice parameters (Å, degrees): 3.8242 3.8242 7.5323 90.00 90.00 90.00
Space group I4/mmm (No. 139)
Unique sites:
Li  0.0000  0.5000  0.2500 [4 per cell]
Cu  0.0000  0.0000  0.0000 [2 per cell]
Ag  0.0000  0.0000  0.5000 [2 per cell]

Values from the calculation:
DFT formation energy = -0.3 eV per formula unit
Total magnetization = 0.00 μB/atom

=====

Here is a crystal of BaReNi relaxed with PBEsol from Alexandria. Energies are from SCAN.

Lattice parameters (Å, degrees): 3.0058 3.0058 7.4481 90.00 90.00 120.00
Space group P3m1 (No. 156)
Unique sites:
Ba  0.0000  0.0000  0.0000 [1 per cell]
Re  0.3333  0.6667  0.3965 [1 per cell]
Ni  0.6667  0.3333  0.6280 [1 per cell]

Values from the calculation:
DFT formation energy = 4.0 eV per formula unit
Total magnetization = 0.00 μB/atom

=====

Here is a crystal of BaSb2Au relaxed with PBEsol from Alexandria. Energies are from SCAN.

Lattice parameters (Å, degrees): 4.7571 4.7571 4.8278 90.00 90.00 90.00
Space group P4/mmm (No. 123)
Unique sites:
Ba  0.0000  0.0000  0.0000 [1 per cell]
Sb  0.0000  0.5000  0.5000 [2 per cell]
Au  0.5000  0.5000  0.0000 [1 per cell]

Values from the calculation:
Formation energy from raw total energies = -368 meV per atom
Total magnetization = 0.00 μB/atom

=====

Here is a crystal of KLiPb2 relaxed with PBEsol from Alexandria. Energies are from SCAN.

Lattice parameters (Å, degrees): 3.6303 3.6303 8.3465 90.00 90.00 90.00
Space group P4/mmm (No. 123)
Unique sites:
K  0.0000  0.0000  0.0000 [1 per cell]
Li  0.0000  0.0000  0.5000 [1 per cell]
Pb  0.5000  0.5000  0.3100 [2 per cell]

Values from the calculation:
DFT formation energy = -1.4 eV per formula unit
Energy above the most stable polymorph in this dataset = 0.000 eV per atom
Total magnetization = 0.00 μB/atom

=====

Here is a crystal of CuReW2 relaxed with PBEsol from Alexandria. Energies are from SCAN.

Lattice parameters (Å, degrees): 3.1710 4.2953 8.5456 90.00 90.00 90.00
Space group Cmm2 (No. 35)
Unique sites:
Cu  0.0000  0.0000  0.0000 [2 per cell]
Re  0.0000  0.5000  0.7587 [2 per cell]
W  0.0000  0.0000  0.5035 [2 per cell]
W  0.0000  0.5000  0.2428 [2 per cell]

Values from the calculation:
DFT formation energy = 0.9 eV per formula unit
Energy above the most stable polymorph in this dataset = 0.000 eV per atom
Total magnetization = 0.00 μB/atom

=====

Here is a crystal of SrTe2 relaxed with PBEsol from Alexandria. Energies are from SCAN.

Lattice parameters (Å, degrees): 10.9683 4.8364 8.9904 90.00 109.81 90.00
Space group Cm (No. 8)
Unique sites:
Sr  0.0000  0.0000  0.0000 [2 per cell]
Sr  0.1734  0.5000  0.5790 [2 per cell]
Te  0.1880  0.5000  0.9775 [2 per cell]
Te  0.2392  0.0000  0.3657 [2 per cell]
Te  0.4345  0.0000  0.7128 [2 per cell]
Te  0.4790  0.5000  0.3561 [2 per cell]

Values from the calculation:
Formation energy from raw total energies = -1125 meV per atom
Total magnetization = 0.00 μB/atom

=====

Here is a crystal of LaY2Mg relaxed with PBEsol from Alexandria. Energies are from SCAN.

Lattice parameters (Å, degrees): 3.5352 3.5352 33.2886 90.00 90.00 120.00
Space group R-3m (No. 166, hexagonal axes)
Unique sites:
La  0.0000  0.0000  0.0000 [3 per cell]
Y  0.0000  0.0000  0.2456 [6 per cell]
Mg  0.0000  0.0000  0.5000 [3 per cell]

Values from the calculation:
DFT formation energy = 0.1 eV per formula unit
Total magnetization = 0.01 μB/atom

=====

Here is a crystal of Zn3OsPt relaxed with PBEsol from Alexandria. Energies are from SCAN.

Lattice parameters (Å, degrees): 4.5838 4.5838 4.5838 90.00 90.00 90.00
Space group Pm-3m (No. 221)
Unique sites:
Zn  0.0000  0.0000  0.5000 [3 per cell]
Os  0.5000  0.5000  0.5000 [1 per cell]
Pt  0.0000  0.0000  0.0000 [1 per cell]

Values from the calculation:
DFT formation energy = 5.5 eV per formula unit
Total magnetization = 0.43 μB/atom

=====

Here is a crystal of TiBeC2 relaxed with PBEsol from Alexandria. Energies are from SCAN.

Lattice parameters (Å, degrees): 3.5456 3.5456 11.2175 90.00 90.00 90.00
Space group I-42d (No. 122)
Unique sites:
Ti  0.0000  0.0000  0.0000 [4 per cell]
Be  0.0000  0.0000  0.5000 [4 per cell]
C  0.0896  0.2500  0.6250 [8 per cell]

Values from the calculation:
DFT formation energy = 1.8 eV per formula unit
Total magnetization = 0.00 μB/atom

=====

Here is a crystal of CaIr2Cl relaxed with PBEsol from Alexandria. Energies are from SCAN.

Lattice parameters (Å, degrees): 2.9702 3.7594 7.2737 90.00 90.00 90.00
Space group Pmm2 (No. 25)
Unique sites:
Ca  0.0000  0.0000  0.0000 [1 per cell]
Ir  0.0000  0.0000  0.6006 [1 per cell]
Ir  0.5000  0.5000  0.7057 [1 per cell]
Cl  0.5000  0.5000  0.1899 [1 per cell]

Values from the calculation:
Formation energy from raw total energies = -474 meV per atom
Energy above the most stable polymorph in this dataset = 0.000 eV per atom
Total magnetization = 0.00 μB/atom

=====

Here is a crystal of Cd2AgMo relaxed with PBEsol from Alexandria. Energies are from SCAN.

Lattice parameters (Å, degrees): 2.7865 5.0253 10.1739 90.00 90.00 90.00
Space group Imm2 (No. 44)
Unique sites:
Cd  0.0000  0.0000  0.0000 [2 per cell]
Cd  0.0000  0.5000  0.2415 [2 per cell]
Ag  0.0000  0.0000  0.4947 [2 per cell]
Mo  0.0000  0.5000  0.7514 [2 per cell]

Values from the calculation:
DFT formation energy = 1.7 eV per formula unit
Energy above the most stable polymorph in this dataset = 0.000 eV per atom
Total magnetization = 0.16 μB/atom

=====

Here is a crystal of Cd2IrW relaxed with PBEsol from Alexandria. Energies are from SCAN.

Lattice parameters (Å, degrees): 4.2740 4.2740 7.2791 90.00 90.00 90.00
Space group I-4m2 (No. 119)
Unique sites:
Cd  0.0000  0.0000  0.0000 [2 per cell]
Cd  0.0000  0.5000  0.2500 [2 per cell]
Ir  0.0000  0.0000  0.5000 [2 per cell]
W  0.0000  0.5000  0.7500 [2 per cell]

Values from the calculation:
DFT formation energy = 2.0 eV per formula unit
Energy above the most stable polymorph in this dataset = 0.174 eV per atom
Total magnetization = 0.19 μB/atom

=====

Here is a crystal of Ca2AuSe relaxed with PBEsol from Alexandria. Energies are from SCAN.

Lattice parameters (Å, degrees): 4.4466 3.9364 11.0962 90.00 90.00 90.00
Space group Amm2 (No. 38)
Unique sites:
Ca  0.0000  0.0000  0.0000 [2 per cell]
Ca  0.5000  0.0000  0.2664 [2 per cell]
Au  0.0000  0.0000  0.7353 [2 per cell]
Se  0.5000  0.0000  0.5356 [2 per cell]

Values from the calculation:
Formation energy from raw total energies = -1402 meV per atom
Total magnetization = 0.00 μB/atom

=====

Here is a crystal of LiReSi2 relaxed with PBEsol from Alexandria. Energies are from SCAN.

Lattice parameters (Å, degrees): 3.0924 3.0924 5.3482 90.00 90.00 90.00
Space group P4/mmm (No. 123)
Unique sites:
Li  0.0000  0.0000  0.0000 [1 per cell]
Re  0.0000  0.0000  0.5000 [1 per cell]
Si  0.5000  0.5000  0.2483 [2 per cell]

Values from the calculation:
Formation energy from raw total energies = -146 meV per atom
Energy above the most stable polymorph in this dataset = 0.000 eV per atom
Total magnetization = 0.00 μB/atom

=====

Here is a crystal of CaY2Ga2 relaxed with PBEsol from Alexandria. Energies are from SCAN.

Lattice parameters (Å, degrees): 7.8678 7.8678 4.0230 90.00 90.00 90.00
Space group P4/mbm (No. 127)
Unique sites:
Ca  0.0000  0.0000  0.0000 [2 per cell]
Y  0.1763  0.3237  0.5000 [4 per cell]
Ga  0.1179  0.6179  0.0000 [4 per cell]

Values from the calculation:
DFT formation energy = -2.9 eV per formula unit
Total magnetization = 0.10 μB/atom

=====

Here is a crystal of SrInCu2 relaxed with PBEsol from Alexandria. Energies are from SCAN.

Lattice parameters (Å, degrees): 7.4681 4.3121 6.1221 90.00 114.08 90.00
Space group Cm (No. 8)
Unique sites:
Sr  0.0000  0.0000  0.0000 [2 per cell]
In  0.1929  0.0000  0.5800 [2 per cell]
Cu  0.2986  0.5000  0.3978 [2 per cell]
Cu  0.4674  0.0000  0.4042 [2 per cell]

Values from the calculation:
DFT formation energy = -0.8 eV per formula unit
Total magnetization = 0.00 μB/atom

=====

Here is a crystal of Tc2Ir relaxed with PBEsol from Alexandria. Energies are from SCAN.

Lattice parameters (Å, degrees): 2.7217 14.2322 4.3163 90.00 90.00 90.00
Space group Cmcm (No. 63)
Unique sites:
Tc  0.0000  0.0544  0.2500 [4 per cell]
Tc  0.0000  0.3890  0.2500 [4 per cell]
Ir  0.0000  0.2776  0.7500 [4 per cell]

Values from the calculation:
DFT formation energy = -0.6 eV per formula unit
Energy above the most stable polymorph in this dataset = 0.089 eV per atom
Total magnetization = 0.00 μB/atom

=====

Here is a crystal of MgScTa2 relaxed with PBEsol from Alexandria. Energies are from SCAN.

Lattice parameters (Å, degrees): 2.8694 4.6780 5.9247 90.00 102.24 90.00
Space group Pm (No. 6)
Unique sites:
Mg  0.0000  0.0000  0.0000 [1 per cell]
Sc  0.6871  0.5000  0.2772 [1 per cell]
Ta  0.2721  0.5000  0.7295 [1 per cell]
Ta  0.4657  0.0000  0.5264 [1 per cell]

Values from the calculation:
DFT formation energy = 0.9 eV per formula unit
Total magnetization = 0.00 μB/atom

=====

Here is a crystal of AlSiSe2 relaxed with PBEsol from Alexandria. Energies are from SCAN.

Lattice parameters (Å, degrees): 3.7909 3.7909 18.9157 90.00 90.00 120.00
Space group R-3m (No. 166, hexagonal axes)
Unique sites:
Al  0.0000  0.0000  0.0000 [3 per cell]
Si  0.0000  0.0000  0.5000 [3 per cell]
Se  0.0000  0.0000  0.2524 [6 per cell]

Values from the calculation:
Formation energy from raw total energies = -116 meV per atom
Energy above the most stable polymorph in this dataset = 0.276 eV per atom
Total magnetization = 0.00 μB/atom

=====

Here is a crystal of YZrIn2 relaxed with PBEsol from Alexandria. Energies are from SCAN.

Lattice parameters (Å, degrees): 4.6136 4.6136 8.6329 90.00 90.00 90.00
Space group I4/mmm (No. 139)
Unique sites:
Y  0.0000  0.0000  0.0000 [2 per cell]
Zr  0.0000  0.0000  0.5000 [2 per cell]
In  0.0000  0.5000  0.2500 [4 per cell]

Values from the calculation:
DFT formation energy = -2.1 eV per formula unit
Total magnetization = 0.35 μB/atom

=====

Here is a crystal of Sr2LaRuN relaxed with PBEsol from Alexandria. Energies are from SCAN.

Lattice parameters (Å, degrees): 5.5188 5.5188 5.0383 90.00 90.00 90.00
Space group P4/mmm (No. 123)
Unique sites:
Sr  0.0000  0.5000  0.0000 [2 per cell]
La  0.0000  0.0000  0.5000 [1 per cell]
Ru  0.0000  0.0000  0.0000 [1 per cell]
N  0.5000  0.5000  0.5000 [1 per cell]

Values from the calculation:
Formation energy from raw total energies = 755 meV per atom
Total magnetization = 0.00 μB/atom

=====

Here is a crystal of Zn3CuH relaxed with PBEsol from Alexandria. Energies are from SCAN.

Lattice parameters (Å, degrees): 3.8451 3.8451 3.8451 90.00 90.00 90.00
Space group Pm-3m (No. 221)
Unique sites:
Zn  0.0000  0.0000  0.5000 [3 per cell]
Cu  0.5000  0.5000  0.5000 [1 per cell]
H  0.0000  0.0000  0.0000 [1 per cell]

Values from the calculation:
Total magnetization = 0.00 μB/atom
Calculated total energy = -57.82 eV for the cell shown

=====

Here is a crystal of In2ReAu relaxed with PBEsol from Alexandria. Energies are from SCAN.

Lattice parameters (Å, degrees): 4.1141 4.1141 8.4734 90.00 90.00 90.00
Space group I4/mmm (No. 139)
Unique sites:
In  0.0000  0.5000  0.2500 [4 per cell]
Re  0.0000  0.0000  0.0000 [2 per cell]
Au  0.0000  0.0000  0.5000 [2 per cell]

Values from the calculation:
DFT formation energy = 1.8 eV per formula unit
Energy above the most stable polymorph in this dataset = 0.000 eV per atom
Total magnetization = 0.17 μB/atom

=====

Here is a crystal of TaAg3 relaxed with PBEsol from Alexandria. Energies are from SCAN.

Lattice parameters (Å, degrees): 6.1333 8.0295 2.7487 90.00 90.00 90.00
Space group Cmmm (No. 65)
Unique sites:
Ta  0.0000  0.0000  0.0000 [2 per cell]
Ag  0.0000  0.5000  0.0000 [2 per cell]
Ag  0.2500  0.2500  0.5000 [4 per cell]

Values from the calculation:
DFT formation energy = 1.6 eV per formula unit
Total magnetization = 0.00 μB/atom